1.
The following is a PBE-GGA calculation of a relaxed structure of LiErTlCo, from Alexandria via LeMat-Bulk.

Output
ρ: 10.0 g/cm³
Magnetization: 0.241 μB per atom

Cell lengths 6.6162, 6.6162, 6.6162 Å; angles 90.00, 90.00, 90.00 degrees
With the nearest neighbours (Å) after each atom.
Space group F-43m (No. 216)
Asymmetric unit:
Li: 0.0000 0.0000 0.0000 x4  4 Er 2.86, 4 Tl 2.86
Er: 0.2500 0.2500 0.7500 x4  4 Co 2.86, 4 Li 2.86
Tl: 0.2500 0.2500 0.2500 x4  4 Li 2.86, 4 Co 2.86
Co: 0.0000 0.0000 0.5000 x4  4 Tl 2.86, 4 Er 2.86


2.
The following is a PBE-GGA calculation of a relaxed structure of LiErTmCo, from Alexandria via LeMat-Bulk.

Output
ρ: 8.6 g/cm³
Magnetization: 0.000 μB per atom

Cell lengths 6.7844, 6.7844, 6.7844 Å; angles 90.00, 90.00, 90.00 degrees
With the nearest neighbours (Å) after each atom.
Space group F-43m (No. 216)
Asymmetric unit:
Li: 0.0000 0.0000 0.0000 x4  4 Er 2.94, 4 Tm 2.94
Er: 0.2500 0.2500 0.7500 x4  4 Li 2.94, 4 Co 2.94
Tm: 0.2500 0.2500 0.2500 x4  4 Li 2.94, 4 Co 2.94
Co: 0.0000 0.0000 0.5000 x4  4 Er 2.94, 4 Tm 2.94


| no. | ΔE_f (eV/f.u.) |
| --- | --- |
| 1 | -0.3 |
| 2 | -0.4 |